An optimized crystal structure of Nd3YN. Source: the Alexandria database, functional GGA-PBE.

abc: 5.1529 5.1529 5.1529
angles: 90.00 90.00 90.00
Element x y z (fractional)
1 Y 0.5000 0.5000 0.5000
2 Nd 0.0000 0.5000 0.0000
3 Nd 0.0000 0.0000 0.5000
4 Nd 0.5000 0.0000 0.0000
5 N 0.0000 0.0000 0.0000

Values from the calculation:
Its space-group type is Pm-3m. The value obtained for the uncorrected formation energy is -0.454 eV/atom.